Record 1
Computed, not measured: a relaxed ZrFeOs3 crystal at the PBE level of DFT.

Lattice parameters (Å, degrees): 4.435 4.435 4.435 90.00 90.00 90.00
Site moments in Bohr magnetons follow the coordinates.
Element x y z (fractional)
Os 0.000 0.500 0.000  0.09
Os 0.000 0.000 0.500  0.04
Os 0.500 0.000 0.000  0.05
Fe 0.000 0.000 0.000  0.47
Zr 0.500 0.500 0.500  0.08

- formation energy from the elements (meV/atom) = 1079.5

Record 2
Computed, not measured: a relaxed Nd5Y8Pu crystal at the PBE level of DFT.

Lattice parameters (Å, degrees): 8.524 8.524 8.524 106.94 114.67 106.94
Site moments in Bohr magnetons follow the coordinates.
Element x y z (fractional)
Nd 0.944 0.237 0.044  -0.06
Nd 0.956 0.900 0.193  -0.06
Nd 0.807 0.763 0.707  -0.06
Nd 0.500 0.000 0.500  -0.20
Nd 0.293 0.100 0.056  -0.06
Y 0.062 0.598 0.967  0.11
Y 0.033 0.094 0.631  0.11
Y 0.776 0.309 0.411  -0.02
Y 0.589 0.365 0.898  -0.02
Y 0.533 0.635 0.224  -0.02
Y 0.536 0.906 0.938  0.11
Y 0.369 0.402 0.464  0.11
Y 0.102 0.691 0.467  -0.02
Pu 0.250 0.500 0.750  5.76

- formation energy from the elements (meV/atom) = 282.6

Record 3
Computed, not measured: a relaxed TaTlOs2 crystal at the PBE level of DFT.

Lattice parameters (Å, degrees): 5.344 5.344 4.819 68.00 68.00 32.56
Element x y z (fractional)
Os 0.014 0.014 0.056
Os 0.737 0.737 0.690
Ta 0.490 0.490 0.571
Tl 0.260 0.260 0.183

- formation energy from the elements (meV/atom) = 505.9

Record 4
Computed, not measured: a relaxed NpTl2ClF6 crystal at the PBE level of DFT.

Lattice parameters (Å, degrees): 6.034 6.445 6.445 120.00 90.00 90.00
Site moments in Bohr magnetons follow the coordinates.
Element x y z (fractional)
Np 0.000 0.000 0.000  2.18
Tl 0.238 0.333 0.667  0.00
Tl 0.762 0.667 0.333  0.00
Cl 0.500 0.000 0.000  -0.03
F 0.860 0.175 0.350  -0.03
F 0.860 0.175 0.825  -0.03
F 0.860 0.650 0.825  -0.03
F 0.140 0.825 0.175  -0.03
F 0.140 0.350 0.175  -0.03
F 0.140 0.825 0.650  -0.03

- ΔE_f (raw) (eV/atom) = -2.427

Record 5
Computed, not measured: a relaxed SeI crystal at the PBE level of DFT.

Lattice parameters (Å, degrees): 5.758 5.805 7.978 74.72 69.58 76.55
Element x y z (fractional)
Se 0.012 0.950 0.615
Se 0.436 0.839 0.527
I 0.909 0.342 0.753
I 0.619 0.071 0.195

- ΔE_f (raw) (eV/atom) = 0.050

Record 6
Computed, not measured: a relaxed CaZrSb4 crystal at the PBE level of DFT.

Lattice parameters (Å, degrees): 6.216 6.216 6.216 60.00 60.00 60.00
Element x y z (fractional)
Ca 0.000 0.000 0.000
Zr 0.750 0.750 0.750
Sb 0.872 0.376 0.376
Sb 0.376 0.376 0.872
Sb 0.376 0.872 0.376
Sb 0.376 0.376 0.376

- ΔE_f (raw) (eV/atom) = 0.118

Record 7
Computed, not measured: a relaxed Pm5In4Ag crystal at the PBE level of DFT.

Lattice parameters (Å, degrees): 3.667 3.667 20.775 90.00 90.00 90.00
Element x y z (fractional)
Pm 0.500 0.500 0.093
Pm 0.500 0.500 0.296
Pm 0.500 0.500 0.500
Pm 0.500 0.500 0.704
Pm 0.500 0.500 0.907
In 0.000 0.000 0.193
In 0.000 0.000 0.398
In 0.000 0.000 0.602
In 0.000 0.000 0.807
Ag 0.000 0.000 0.000

- formation energy from the elements (meV/atom) = -455.0

Record 8
Computed, not measured: a relaxed Ca2MnOs crystal at the PBE level of DFT.

Lattice parameters (Å, degrees): 3.306 3.306 8.390 90.00 90.00 90.00
Site moments in Bohr magnetons follow the coordinates.
Element x y z (fractional)
Ca 0.000 0.000 0.963  -0.03
Ca 0.000 0.000 0.537  -0.03
Mn 0.500 0.500 0.250  3.99
Os 0.500 0.500 0.750  0.14

- formation energy from the elements (meV/atom) = 678.9

Record 9
Computed, not measured: a relaxed Pa4RePd crystal at the PBE level of DFT.

Lattice parameters (Å, degrees): 5.725 6.906 6.906 90.00 90.00 90.00
Element x y z (fractional)
Pa 0.000 0.159 0.643
Pa 0.000 0.841 0.357
Pa 0.000 0.357 0.159
Pa 0.000 0.643 0.841
Pa 0.500 0.841 0.643
Pa 0.500 0.159 0.357
Pa 0.500 0.643 0.159
Pa 0.500 0.357 0.841
Re 0.250 0.500 0.500
Re 0.750 0.500 0.500
Pd 0.250 0.000 0.000
Pd 0.750 0.000 0.000

- formation energy from the elements (meV/atom) = -213.2

Record 10
Computed, not measured: a relaxed Li2Cu3Ni2 crystal at the PBE level of DFT.

Lattice parameters (Å, degrees): 2.493 5.821 6.744 114.89 100.40 102.42
Element x y z (fractional)
Li 0.718 0.856 0.578
Li 0.282 0.144 0.422
Cu 0.000 0.000 0.000
Cu 0.859 0.441 0.285
Cu 0.141 0.559 0.715
Ni 0.583 0.294 0.869
Ni 0.417 0.706 0.131

- formation energy from the elements (meV/atom) = -11.2

Record 11
Computed, not measured: a relaxed Na3Tb2PdO6 crystal at the PBE level of DFT.

Lattice parameters (Å, degrees): 5.796 5.796 5.887 98.89 98.89 120.32
Site moments in Bohr magnetons follow the coordinates.
Element x y z (fractional)
Na 0.158 0.842 0.500  0.00
Na 0.842 0.158 0.500  0.00
Na 0.500 0.500 0.500  0.00
Tb 0.330 0.670 0.000  -0.01
Tb 0.670 0.330 0.000  -0.01
Pd 0.000 0.000 0.000  0.53
O 0.925 0.592 0.775  0.10
O 0.757 0.757 0.202  -0.01
O 0.075 0.408 0.225  0.10
O 0.592 0.925 0.775  0.10
O 0.243 0.243 0.798  -0.01
O 0.408 0.075 0.225  0.10

- ΔE_f (raw) (eV/atom) = -2.091

Record 12
Computed, not measured: a relaxed AlGePd6 crystal at the PBE level of DFT.

Lattice parameters (Å, degrees): 4.222 4.222 7.383 106.62 106.62 89.84
Element x y z (fractional)
Al 0.500 0.500 0.000
Ge 0.000 0.000 0.000
Pd 0.611 0.111 0.221
Pd 0.889 0.389 0.779
Pd 0.249 0.249 0.499
Pd 0.111 0.611 0.221
Pd 0.389 0.889 0.779
Pd 0.751 0.751 0.501

- formation energy from the elements (meV/atom) = -434.7

Q: What is the formula in the third record?
A: TaTlOs2